Compound: Ta2Co4O9
Source: Alexandria
Functional: PBE with a Hubbard U
Structure: relaxed

Values from the calculation:
Fermi-level density of states: 0.00 states/eV/cell
Calculated volume: 336.1 Å³/cell
Total DFT energy (no corrections): -7.800 eV/atom

Lattice parameters (Å, degrees): 5.2133 5.2133 14.2808 90.00 90.00 120.00
Space group P-3c1 (No. 165)
Symmetry-distinct sites (fractional):
Ta 0.0000 0.0000 0.1428 [4 per cell]
Co 0.3333 0.6667 0.0154 [4 per cell]
Co 0.3333 0.6667 0.3078 [4 per cell]
O 0.0000 0.2875 0.2500 [6 per cell]
O 0.0226 0.3420 0.9158 [12 per cell]